DFT (PBE) results for an optimized crystal structure of CuIr3C.

Calculated values
energy of formation from the pure elements = 2.99 eV per atom
relative energy among the computed polymorphs = 2529 meV per atom
electronic total energy = -24.98 eV/cell

Lattice parameters (Å, degrees): 4.452 4.452 4.452 90.00 90.00 90.00
Sites, in units of the cell vectors:
Cu  0.000  0.000  0.000
Ir  0.000  0.000  0.500
Ir  0.000  0.500  0.000
Ir  0.500  0.000  0.000
C  0.500  0.500  0.500